# 1
The following is a DFT calculation (PBE) of a relaxed AsOs2 crystal.

Computed properties:
V = 49 Å³/f.u.
ΔE_f = 0.9481 eV/atom
ρ = 15.4 g cm⁻³
D(E_F) = 2.66 states/eV per cell

Lattice parameters (Å, degrees): 4.014 4.014 3.040 90.00 90.00 90.00
Space group P4/mmm (No. 123)
Inequivalent atoms, fractional coordinates:
As 0.000 0.000 0.000
Os 0.000 0.500 0.500

# 2
The following is a DFT calculation (PBE) of a relaxed As5Os crystal.

Computed properties:
V = 116 Å³/f.u.
ΔE_f = 0.3355 eV/atom
ρ = 8.1 g cm⁻³
D(E_F) = 2.15 states/eV per cell
Energy above the lowest structure with this stoichiometry = 230 meV/atom

Lattice parameters (Å, degrees): 2.961 2.961 13.289 90.00 90.00 90.00
Space group P4/mmm (No. 123)
Inequivalent atoms, fractional coordinates:
As 0.000 0.000 0.000
As 0.000 0.000 0.378
As 0.500 0.500 0.153
Os 0.500 0.500 0.500